# GaSiRu2

A crystal of GaSiRu2 relaxed with PBEsol (meta-GGA SCAN, Alexandria).

Values from the calculation:
The calculation puts the total energy at -24.568 eV/atom. As for the crystal system: cubic. The value obtained for the density of states at the Fermi level is 2.00 states/eV/f.u. The volume is 12.7 A^3/atom. The formation energy without anion corrections is -2.3 eV/f.u.

Cell lengths 5.883, 5.883, 5.883 Å; angles 90.00, 90.00, 90.00 degrees
Space group Fm-3m (No. 225)
Inequivalent atoms, fractional coordinates:
Ga 0.000 0.000 0.000 x4
Si 0.000 0.000 0.500 x4
Ru 0.250 0.250 0.250 x8

=====

# MnAsOs2

A crystal of MnAsOs2 relaxed with PBEsol (meta-GGA SCAN, Alexandria).

Values from the calculation:
The calculation puts the total energy at -45.441 eV/atom. As for the crystal system: monoclinic. The value obtained for the density of states at the Fermi level is 2.31 states/eV/f.u. The volume is 13.8 A^3/atom. Its formation energy is 0.110 eV per atom.

Cell lengths 4.387, 2.842, 4.795 Å; angles 90.00, 112.17, 90.00 degrees
Space group P2/m (No. 10)
Inequivalent atoms, fractional coordinates:
Mn 0.000 0.000 0.000 x1
As 0.000 0.500 0.500 x1
Os 0.500 0.000 0.500 x1
Os 0.500 0.500 0.000 x1

=====

# Cs3TlH

A crystal of Cs3TlH relaxed with PBEsol (meta-GGA SCAN, Alexandria).

Values from the calculation:
The calculation puts the total energy at -37.951 eV/atom. As for the crystal system: cubic. The value obtained for the density of states at the Fermi level is 4.71 states/eV/f.u. The volume is 43.4 A^3/atom.

Cell lengths 6.009, 6.009, 6.009 Å; angles 90.00, 90.00, 90.00 degrees
Space group Pm-3m (No. 221)
Inequivalent atoms, fractional coordinates:
Cs 0.000 0.000 0.500 x3
Tl 0.500 0.500 0.500 x1
H 0.000 0.000 0.000 x1

=====

# Be2MoSCl

A crystal of Be2MoSCl relaxed with PBEsol (meta-GGA SCAN, Alexandria).

Values from the calculation:
The calculation puts the total energy at -11.429 eV/atom. As for the crystal system: tetragonal. The value obtained for the density of states at the Fermi level is 2.95 states/eV/f.u. The volume is 14.6 A^3/atom. The formation energy without anion corrections is 4.1 eV/f.u.

Cell lengths 3.990, 3.990, 4.575 Å; angles 90.00, 90.00, 90.00 degrees
Space group P4/mmm (No. 123)
Inequivalent atoms, fractional coordinates:
Be 0.000 0.500 0.000 x2
Mo 0.000 0.000 0.500 x1
S 0.000 0.000 0.000 x1
Cl 0.500 0.500 0.500 x1

=====

# ScBe2Co

A crystal of ScBe2Co relaxed with PBEsol (meta-GGA SCAN, Alexandria).

Values from the calculation:
The calculation puts the total energy at -10.191 eV/atom. As for the crystal system: trigonal. The value obtained for the density of states at the Fermi level is 2.72 states/eV/f.u. The volume is 12.6 A^3/atom. Its formation energy is -0.129 eV per atom.

Cell lengths 3.6801, 3.6801, 12.8902 Å; angles 90.00, 90.00, 120.00 degrees
Space group R3m (No. 160, hexagonal axes)
Inequivalent atoms, fractional coordinates:
Sc 0.0000 0.0000 0.0000 x3
Be 0.0000 0.0000 0.1927 x3
Be 0.0000 0.0000 0.4953 x3
Co 0.0000 0.0000 0.8024 x3

=====

# Zn2OsPbW

A crystal of Zn2OsPbW relaxed with PBEsol (meta-GGA SCAN, Alexandria).

Values from the calculation:
The calculation puts the total energy at -46.341 eV/atom. As for the crystal system: tetragonal. The value obtained for the density of states at the Fermi level is 3.70 states/eV/f.u. The volume is 22.7 A^3/atom. Its formation energy is 2.535 eV per atom.

Cell lengths 4.649, 4.649, 5.250 Å; angles 90.00, 90.00, 90.00 degrees
Space group P4/mmm (No. 123)
Inequivalent atoms, fractional coordinates:
Zn 0.000 0.500 0.000 x2
Os 0.000 0.000 0.500 x1
Pb 0.500 0.500 0.000 x1
W 0.500 0.500 0.500 x1